Arrangement a

DFT (GGA-PBE) results for a relaxed structure of HfTeH2.

```
data_HfTeH2
_chemical_formula_sum 'Hf3 Te3 H6'
_cell_length_a 3.5728
_cell_length_b 3.5728
_cell_length_c 14.9398
_cell_angle_alpha 90.00
_cell_angle_beta 90.00
_cell_angle_gamma 120.00
_space_group_name_H-M_alt 'R 3 m'
_space_group_IT_number 160
_space_group_name_Hall 'R 3 -2"'
loop_
_atom_site_label
_atom_site_type_symbol
_atom_site_fract_x
_atom_site_fract_y
_atom_site_fract_z
Hf1 Hf 0.0000 0.0000 0.0000
Te1 Te 0.0000 0.0000 0.1993
H1 H 0.0000 0.0000 0.3810
H2 H 0.0000 0.0000 0.6820
```

Calculated values
crystal system: trigonal
total magnetic moment: 0.000 μB per atom

Arrangement b

DFT (GGA-PBE) results for a relaxed structure of HfTeH2.

```
data_HfTeH2
_chemical_formula_sum 'Hf2 Te2 H4'
_cell_length_a 3.6401
_cell_length_b 3.6434
_cell_length_c 8.9257
_cell_angle_alpha 90.00
_cell_angle_beta 101.30
_cell_angle_gamma 90.00
_space_group_name_H-M_alt 'P 1 21/m 1'
_space_group_IT_number 11
loop_
_space_group_symop_operation_xyz
'x,y,z'
'-x,-y,-z'
'-x,y+1/2,-z'
'x,-y+1/2,z'
loop_
_atom_site_label
_atom_site_type_symbol
_atom_site_fract_x
_atom_site_fract_y
_atom_site_fract_z
Hf1 Hf 0.1850 0.2500 0.3636
Te1 Te 0.3924 0.2500 0.7975
H1 H 0.0846 0.2500 0.1535
H2 H 0.2506 0.7500 0.4999
```

Calculated values
crystal system: monoclinic
total magnetic moment: 0.000 μB per atom

Which of them is the most stable? Correct choice: arrangement a.